Entry 1:
# Sc3BiC

Sc3BiC after structural relaxation (PBE, Alexandria via LeMat-Bulk).

The structure in extended XYZ format:
```
20
Lattice="-19.077 2.062 10.878 1.063 -4.989 2.810 8.365 0.802 -1.741" Properties=species:S:1:pos:R:3 pbc="T T T"
Sc 1.506 1.115 1.413
Sc -11.155 -3.241 10.533
Sc 2.035 -1.379 2.820
Sc -11.684 -0.747 9.127
Sc -3.522 -0.235 3.933
Sc -6.128 -1.891 8.014
Sc -0.771 -3.323 3.445
Sc -8.878 1.197 8.502
Sc -9.209 -2.587 7.946
Sc -0.440 0.462 4.001
Sc -14.161 1.089 10.312
Sc 4.512 -3.215 1.635
C 3.252 -0.529 0.854
C -12.901 -1.597 11.093
C 0.821 -2.231 4.786
C -10.470 0.106 7.161
Bi -3.657 -2.551 5.907
Bi -5.992 0.426 6.040
Bi -0.636 -1.006 1.472
Bi -9.013 -1.120 10.475
```

***

Entry 2:
# LiPmDyGe

LiPmDyGe after structural relaxation (PBE, Alexandria via LeMat-Bulk).

The structure in extended XYZ format:
```
4
Lattice="5.086 0.000 0.000 2.543 4.405 0.000 2.543 1.468 4.153" Properties=species:S:1:pos:R:3 pbc="T T T"
Ge 2.543 1.468 1.038
Pm 5.086 2.937 2.076
Li 7.629 4.405 3.115
Dy 0.000 0.000 0.000
```

***

Entry 3:
# TbPm2Y2Tm2

TbPm2Y2Tm2 after structural relaxation (PBE, Alexandria via LeMat-Bulk).

The structure in extended XYZ format:
```
7
Lattice="3.511 0.000 0.000 -1.756 5.619 1.643 0.000 0.520 11.775" Properties=species:S:1:pos:R:3 pbc="T T T"
Tb 0.000 0.260 5.888
Pm 1.756 2.406 11.338
Pm 0.000 3.733 2.081
Y 0.000 5.467 10.554
Y 1.756 0.672 2.865
Tm 1.756 3.253 5.191
Tm 0.000 2.886 8.227
```

***

| no. | mass density (g/cm³) | energy relative to the elements (eV per atom) |
| --- | --- | --- |
| 1 | 6.017 | -0.39 |
| 2 | 6.908 | -0.42 |
| 3 | 6.985 | 0.09 |